! Sr2Ca3Mg (PBE-GGA, relaxed); values from VASP
&SYSTEM
  ibrav = 0, nat = 6, ntyp = 3
/
ATOMIC_SPECIES
Sr 87.62 Sr.upf
Ca 40.08 Ca.upf
Mg 24.30 Mg.upf
CELL_PARAMETERS angstrom
3.9031 0.0000 0.0000
0.0000 6.1526 0.0000
0.0000 0.0000 10.8059
ATOMIC_POSITIONS crystal
Sr 0.0000 0.0000 0.0000
Sr 0.0000 0.5000 0.4733
Ca 0.5000 0.0000 0.6379
Ca 0.5000 0.5000 0.1603
Ca 0.5000 0.5000 0.8190
Mg 0.5000 0.0000 0.3171
! **Energy**: -1.77 eV per atom
! **DOS(E_F)**: 7.5 states/eV per cell
! **Offset from the most stable computed form**: 44 meV/atom
! **Energy of formation from the pure elements**: 60 meV per atom
! **Total magnetic moment**: 0.0001 μB per atom

---

! SrCaMg (PBE-GGA, relaxed); values from VASP
&SYSTEM
  ibrav = 0, nat = 3, ntyp = 3
/
ATOMIC_SPECIES
Sr 87.62 Sr.upf
Ca 40.08 Ca.upf
Mg 24.30 Mg.upf
CELL_PARAMETERS angstrom
4.9642 -2.8816 0.0000
4.9642 2.8816 0.0000
-3.2922 0.0000 4.7327
ATOMIC_POSITIONS crystal
Sr 0.0000 0.0000 0.0000
Ca 0.4999 0.4999 0.5034
Mg 0.7499 0.7499 0.2521
! **Energy**: -1.59 eV per atom
! **DOS(E_F)**: 3.9 states/eV per cell
! **Offset from the most stable computed form**: 198 meV/atom
! **Energy of formation from the pure elements**: 167 meV per atom
! **Total magnetic moment**: 0.0000 μB per atom

---

! SrCa2Mg2 (PBE-GGA, relaxed); values from VASP
&SYSTEM
  ibrav = 0, nat = 5, ntyp = 3
/
ATOMIC_SPECIES
Sr 87.62 Sr.upf
Ca 40.08 Ca.upf
Mg 24.30 Mg.upf
CELL_PARAMETERS angstrom
-2.5450 2.5450 7.4554
2.5450 -2.5450 7.4554
2.5450 2.5450 -7.4554
ATOMIC_POSITIONS crystal
Sr 0.0000 0.0000 0.0000
Ca 0.2500 0.7500 0.5000
Ca 0.7500 0.2500 0.5000
Mg 0.4017 0.4017 0.0000
Mg 0.5983 0.5983 0.0000
! **Energy**: -1.72 eV per atom
! **DOS(E_F)**: 5.4 states/eV per cell
! **Offset from the most stable computed form**: 88 meV/atom
! **Energy of formation from the pure elements**: 52 meV per atom
! **Total magnetic moment**: 0.0000 μB per atom

---

! SrCa3Mg (PBE-GGA, relaxed); values from VASP
&SYSTEM
  ibrav = 0, nat = 5, ntyp = 3
/
ATOMIC_SPECIES
Sr 87.62 Sr.upf
Ca 40.08 Ca.upf
Mg 24.30 Mg.upf
CELL_PARAMETERS angstrom
6.1579 0.0000 0.0000
0.0000 6.1579 0.0000
0.0000 0.0000 6.1579
ATOMIC_POSITIONS crystal
Sr 0.0000 0.0000 0.0000
Ca 0.0000 0.5000 0.5000
Ca 0.5000 0.0000 0.5000
Ca 0.5000 0.5000 0.0000
Mg 0.5000 0.5000 0.5000
! **Energy**: -1.64 eV per atom
! **DOS(E_F)**: 7.5 states/eV per cell
! **Offset from the most stable computed form**: 183 meV/atom
! **Energy of formation from the pure elements**: 216 meV per atom
! **Total magnetic moment**: 0.0000 μB per atom

---

! SrCa14Mg (PBE-GGA, relaxed); values from VASP
&SYSTEM
  ibrav = 0, nat = 16, ntyp = 3
/
ATOMIC_SPECIES
Sr 87.62 Sr.upf
Ca 40.08 Ca.upf
Mg 24.30 Mg.upf
CELL_PARAMETERS angstrom
10.6679 0.0000 0.0000
0.0000 5.5612 5.5660
0.0000 -5.5612 5.5660
ATOMIC_POSITIONS crystal
Sr 0.0000 0.0000 0.0000
Ca 0.0000 0.9999 0.5000
Ca 0.0000 0.5000 0.9999
Ca 0.2462 0.2567 0.2567
Ca 0.2459 0.2575 0.7423
Ca 0.2459 0.7423 0.2575
Ca 0.2462 0.7431 0.7431
Ca 0.5000 0.0000 0.0000
Ca 0.5000 0.9999 0.5000
Ca 0.5000 0.5000 0.9999
Ca 0.5000 0.5000 0.5000
Ca 0.7538 0.2567 0.2567
Ca 0.7541 0.2575 0.7423
Ca 0.7541 0.7423 0.2575
Ca 0.7538 0.7431 0.7431
Mg 0.0000 0.4995 0.4995
! **Energy**: -1.94 eV per atom
! **DOS(E_F)**: 16.5 states/eV per cell
! **Energy of formation from the pure elements**: 12 meV per atom
! **Total magnetic moment**: 0.0000 μB per atom

---

! Sr2Ca12Mg (PBE-GGA, relaxed); values from VASP
&SYSTEM
  ibrav = 0, nat = 30, ntyp = 3
/
ATOMIC_SPECIES
Sr 87.62 Sr.upf
Ca 40.08 Ca.upf
Mg 24.30 Mg.upf
CELL_PARAMETERS angstrom
7.3141 0.0000 0.0000
0.0000 7.3141 0.0000
0.0000 0.0000 25.9615
ATOMIC_POSITIONS crystal
Sr 0.2500 0.7500 0.2318
Sr 0.2500 0.7500 0.7682
Sr 0.7500 0.2500 0.2318
Sr 0.7500 0.2500 0.7682
Ca 0.0003 0.9997 0.4169
Ca 0.9997 0.0003 0.5831
Ca 0.9997 0.4997 0.4169
Ca 0.0003 0.5003 0.5831
Ca 0.0764 0.5764 0.0637
Ca 0.0764 0.9236 0.9363
Ca 0.2500 0.2500 0.1656
Ca 0.2500 0.2500 0.3073
Ca 0.2500 0.2500 0.6927
Ca 0.2500 0.2500 0.8344
Ca 0.4236 0.5764 0.9363
Ca 0.4236 0.9236 0.0637
Ca 0.5003 0.0003 0.4169
Ca 0.4997 0.9997 0.5831
Ca 0.4997 0.5003 0.4169
Ca 0.5003 0.4997 0.5831
Ca 0.5764 0.0764 0.9363
Ca 0.5764 0.4236 0.0637
Ca 0.7500 0.7500 0.1656
Ca 0.7500 0.7500 0.3073
Ca 0.7500 0.7500 0.6927
Ca 0.7500 0.7500 0.8344
Ca 0.9236 0.0764 0.0637
Ca 0.9236 0.4236 0.9363
Mg 0.2500 0.7500 0.5000
Mg 0.7500 0.2500 0.5000
! **Energy**: -1.74 eV per atom
! **DOS(E_F)**: 41.5 states/eV per cell
! **Energy of formation from the pure elements**: 194 meV per atom
! **Total magnetic moment**: 0.0001 μB per atom

---

! SrCaMg (PBE-GGA, relaxed); values from VASP
&SYSTEM
  ibrav = 0, nat = 6, ntyp = 3
/
ATOMIC_SPECIES
Sr 87.62 Sr.upf
Ca 40.08 Ca.upf
Mg 24.30 Mg.upf
CELL_PARAMETERS angstrom
5.1431 0.0000 0.0000
0.0000 5.1431 0.0000
0.0000 0.0000 9.2701
ATOMIC_POSITIONS crystal
Sr 0.2500 0.2500 0.1452
Sr 0.7500 0.7500 0.8548
Ca 0.2500 0.7500 0.5000
Ca 0.7500 0.2500 0.5000
Mg 0.2500 0.2500 0.7498
Mg 0.7500 0.7500 0.2502
! **Energy**: -1.76 eV per atom
! **DOS(E_F)**: 7.0 states/eV per cell
! **Offset from the most stable computed form**: 34 meV/atom
! **Energy of formation from the pure elements**: 2 meV per atom
! **Total magnetic moment**: 0.0000 μB per atom

---

! SrCa5Mg (PBE-GGA, relaxed); values from VASP
&SYSTEM
  ibrav = 0, nat = 7, ntyp = 3
/
ATOMIC_SPECIES
Sr 87.62 Sr.upf
Ca 40.08 Ca.upf
Mg 24.30 Mg.upf
CELL_PARAMETERS angstrom
5.5946 0.0000 0.0000
0.0000 5.5946 0.0000
0.0000 0.0000 9.6884
ATOMIC_POSITIONS crystal
Sr 0.0000 0.0000 0.0000
Ca 0.0000 0.5000 0.2994
Ca 0.0000 0.5000 0.7006
Ca 0.5000 0.0000 0.2994
Ca 0.5000 0.0000 0.7006
Ca 0.5000 0.5000 0.0000
Mg 0.5000 0.5000 0.5000
! **Energy**: -1.81 eV per atom
! **DOS(E_F)**: 8.1 states/eV per cell
! **Offset from the most stable computed form**: 0 meV/atom
! **Energy of formation from the pure elements**: 86 meV per atom
! **Total magnetic moment**: 0.0000 μB per atom

---

! SrCaMg10 (PBE-GGA, relaxed); values from VASP
&SYSTEM
  ibrav = 0, nat = 12, ntyp = 3
/
ATOMIC_SPECIES
Sr 87.62 Sr.upf
Ca 40.08 Ca.upf
Mg 24.30 Mg.upf
CELL_PARAMETERS angstrom
5.0686 0.0000 0.0000
0.0000 6.0971 0.0000
0.0000 0.0000 10.6282
ATOMIC_POSITIONS crystal
Sr 0.0000 0.0000 0.0000
Ca 0.0000 0.5000 0.5000
Mg 0.0000 0.0000 0.3391
Mg 0.0000 0.0000 0.6609
Mg 0.0000 0.5000 0.1710
Mg 0.0000 0.5000 0.8290
Mg 0.5000 0.0000 0.5000
Mg 0.5000 0.2504 0.2517
Mg 0.5000 0.2504 0.7483
Mg 0.5000 0.5000 0.0000
Mg 0.5000 0.7496 0.2517
Mg 0.5000 0.7496 0.7483
! **Energy**: -1.67 eV per atom
! **DOS(E_F)**: 7.0 states/eV per cell
! **Energy of formation from the pure elements**: -31 meV per atom
! **Total magnetic moment**: 0.0000 μB per atom

---

! Sr2Ca2Mg (PBE-GGA, relaxed); values from VASP
&SYSTEM
  ibrav = 0, nat = 10, ntyp = 3
/
ATOMIC_SPECIES
Sr 87.62 Sr.upf
Ca 40.08 Ca.upf
Mg 24.30 Mg.upf
CELL_PARAMETERS angstrom
-2.8768 2.8768 14.0280
2.8768 -2.8768 14.0280
2.8768 2.8768 -14.0280
ATOMIC_POSITIONS crystal
Sr 0.0560 0.3060 0.7500
Sr 0.3060 0.0560 0.2500
Sr 0.6940 0.9440 0.7500
Sr 0.9440 0.6940 0.2500
Ca 0.2009 0.4509 0.7500
Ca 0.4509 0.2009 0.2500
Ca 0.5491 0.7991 0.7500
Ca 0.7991 0.5491 0.2500
Mg 0.3750 0.6250 0.7500
Mg 0.6250 0.3750 0.2500
! **Energy**: -1.69 eV per atom
! **DOS(E_F)**: 12.8 states/eV per cell
! **Offset from the most stable computed form**: 115 meV/atom
! **Energy of formation from the pure elements**: 104 meV per atom
! **Total magnetic moment**: 0.0000 μB per atom

---

! SrCa16Mg12 (PBE-GGA, relaxed); values from VASP
&SYSTEM
  ibrav = 0, nat = 29, ntyp = 3
/
ATOMIC_SPECIES
Sr 87.62 Sr.upf
Ca 40.08 Ca.upf
Mg 24.30 Mg.upf
CELL_PARAMETERS angstrom
6.2490 -8.8946 0.0000
6.2490 8.8946 0.0000
-6.2016 0.0000 8.7876
ATOMIC_POSITIONS crystal
Sr 0.0000 0.0000 0.0000
Ca 0.1880 0.5909 0.5834
Ca 0.1958 0.8960 0.2745
Ca 0.2531 0.2531 0.9286
Ca 0.2720 0.2720 0.5483
Ca 0.2792 0.8753 0.9589
Ca 0.3035 0.9913 0.6726
Ca 0.5881 0.9042 0.8699
Ca 0.5889 0.5889 0.2732
Ca 0.5895 0.9249 0.2696
Ca 0.5909 0.1880 0.5834
Ca 0.5906 0.5906 0.6170
Ca 0.8753 0.2792 0.9589
Ca 0.8960 0.1958 0.2745
Ca 0.9042 0.5881 0.8699
Ca 0.9249 0.5895 0.2696
Ca 0.9913 0.3035 0.6726
Mg 0.2294 0.5876 0.0886
Mg 0.2309 0.4137 0.2750
Mg 0.4066 0.5878 0.9055
Mg 0.4137 0.2309 0.2750
Mg 0.4143 0.7732 0.4564
Mg 0.5876 0.2294 0.0886
Mg 0.5878 0.4066 0.9055
Mg 0.7652 0.7652 0.0883
Mg 0.7714 0.9522 0.6318
Mg 0.7732 0.4143 0.4564
Mg 0.9511 0.9511 0.4480
Mg 0.9522 0.7714 0.6318
! **Energy**: -1.85 eV per atom
! **DOS(E_F)**: 27.9 states/eV per cell
! **Energy of formation from the pure elements**: -30 meV per atom
! **Total magnetic moment**: 0.0000 μB per atom

---

! SrCa2Mg2 (PBE-GGA, relaxed); values from VASP
&SYSTEM
  ibrav = 0, nat = 10, ntyp = 3
/
ATOMIC_SPECIES
Sr 87.62 Sr.upf
Ca 40.08 Ca.upf
Mg 24.30 Mg.upf
CELL_PARAMETERS angstrom
6.1929 0.0000 0.0000
0.0000 3.8870 0.0000
-1.3398 0.0000 15.5086
ATOMIC_POSITIONS crystal
Sr 0.1958 0.2500 0.2483
Sr 0.8042 0.7500 0.7517
Ca 0.2441 0.7500 0.4729
Ca 0.3294 0.2500 0.8803
Ca 0.6706 0.7500 0.1197
Ca 0.7559 0.2500 0.5271
Mg 0.1601 0.7500 0.0481
Mg 0.2833 0.2500 0.6573
Mg 0.7167 0.7500 0.3427
Mg 0.8399 0.2500 0.9519
! **Energy**: -1.74 eV per atom
! **DOS(E_F)**: 9.2 states/eV per cell
! **Offset from the most stable computed form**: 68 meV/atom
! **Energy of formation from the pure elements**: 31 meV per atom
! **Total magnetic moment**: 0.0000 μB per atom